This record from Alexandria describes crystalline AlCr3Ga at its relaxed geometry. The functional is PBE-GGA.

Structure (extended XYZ):
```
5
Lattice="4.579 0.000 0.000 0.000 4.579 0.000 0.000 0.000 4.579" Properties=species:S:1:pos:R:3 pbc="T T T"
Al 0.000 0.000 0.000
Cr 0.000 2.290 2.290
Cr 2.290 0.000 2.290
Cr 2.290 2.290 0.000
Ga 2.290 2.290 2.290
```

E	-0.44232	Ry per atom
space group	Pm-3m (221)
energy relative to the elements	1.110	eV per atom

---

This record from Alexandria describes crystalline Al3CrGa at its relaxed geometry. The functional is PBE-GGA.

Structure (extended XYZ):
```
20
Lattice="6.265 -4.952 0.000 6.265 4.952 0.000 0.000 0.000 5.360" Properties=species:S:1:pos:R:3 pbc="T T T"
Al 4.317 2.534 3.271
Al 6.265 4.011 4.500
Al 4.317 2.418 0.592
Al 8.212 2.534 3.271
Al 6.265 0.940 1.820
Al 8.212 2.418 0.592
Al 4.317 -2.418 4.768
Al 6.265 -0.940 3.539
Al 4.317 -2.534 2.088
Al 8.212 -2.418 4.768
Al 6.265 -4.011 0.859
Al 8.212 -2.534 2.088
Cr 6.265 3.520 1.899
Cr 6.265 1.432 4.579
Cr 6.265 -1.432 0.781
Cr 6.265 -3.520 3.461
Ga 3.132 0.130 4.020
Ga 3.132 -0.130 1.340
Ga 9.397 0.130 4.020
Ga 9.397 -0.130 1.340
```

E	-0.34220	Ry per atom
space group	Cmce (64)
energy relative to the elements	0.120	eV per atom

---

This record from Alexandria describes crystalline Al8Cr2Ga at its relaxed geometry. The functional is PBE-GGA.

Structure (extended XYZ):
```
11
Lattice="5.722 -3.565 0.000 5.722 3.565 0.000 -1.125 0.000 4.612" Properties=species:S:1:pos:R:3 pbc="T T T"
Al 4.250 2.200 3.338
Al 0.899 0.000 3.837
Al 6.069 2.200 1.274
Al 2.692 0.000 1.822
Al 7.627 0.000 2.790
Al 4.250 -2.200 3.338
Al 9.421 0.000 0.775
Al 6.069 -2.200 1.274
Cr 3.472 0.000 4.384
Cr 6.847 0.000 0.229
Ga 5.160 0.000 2.306
```

E	-0.33342	Ry per atom
space group	C2/m (12)
energy relative to the elements	0.210	eV per atom

---

This record from Alexandria describes crystalline HfAlCr2Ga at its relaxed geometry. The functional is PBE-GGA.

Structure (extended XYZ):
```
5
Lattice="4.546 0.000 0.000 0.000 4.546 0.000 0.000 0.000 4.444" Properties=species:S:1:pos:R:3 pbc="T T T"
Hf 0.000 0.000 0.000
Al 2.273 2.273 0.000
Cr 0.000 2.273 2.222
Cr 2.273 0.000 2.222
Ga 2.273 2.273 2.222
```

E	-0.46683	Ry per atom
space group	P4/mmm (123)
energy relative to the elements	0.842	eV per atom

---

This record from Alexandria describes crystalline AlCr2InGa at its relaxed geometry. The functional is PBE-GGA.

Structure (extended XYZ):
```
5
Lattice="5.208 0.000 0.000 0.000 5.208 0.000 0.000 0.000 4.995" Properties=species:S:1:pos:R:3 pbc="T T T"
Al 0.000 0.000 0.000
Cr 0.000 2.604 2.497
Cr 2.604 0.000 2.497
In 0.000 0.000 2.497
Ga 2.604 2.604 0.000
```

E	-0.33272	Ry per atom
space group	P4/mmm (123)
energy relative to the elements	1.224	eV per atom

---

This record from Alexandria describes crystalline LiAlCrGa at its relaxed geometry. The functional is PBE-GGA.

Structure (extended XYZ):
```
4
Lattice="0.000 3.080 3.080 3.080 0.000 3.080 3.080 3.080 0.000" Properties=species:S:1:pos:R:3 pbc="T T T"
Li 0.000 0.000 0.000
Al 4.620 4.620 4.620
Cr 3.080 3.080 3.080
Ga 1.540 1.540 1.540
```

E	-0.34322	Ry per atom
space group	F-43m (216)
energy relative to the elements	-0.093	eV per atom